DFT (PBE-GGA) results for a relaxed CoPBr2 crystal.

Cell: 2.847 2.847 12.155 Å, 90.00 90.00 90.00°
Space group P4mm (No. 99)
One atom of each set of equivalent atoms:
Co 0.000 0.000 0.000 x1
P 0.500 0.500 0.084 x1
Br 0.000 0.000 0.396 x1
Br 0.500 0.500 0.746 x1

Computed properties:
The total DFT energy (no corrections) is -3.694 eV/atom. The density of states at the Fermi level comes out at 2.99 states/eV/f.u. Its total magnetic moment is 0.97 μB per cell. For the energy relative to the elements, uncorrected, the calculation gives 271 meV per atom.